1.
Material: AcGe2Rh
Method: DFT, GGA-PBE
State: optimized geometry

Properties
Density of states at the Fermi level in states/eV per atom: 0.543
Energy relative to the elements in meV/atom: -817.1
Energy above the most stable polymorph in this dataset in kJ per mole of atoms: 0.00

Unit cell a=9.149 b=9.149 c=4.444 alpha=90.00 beta=90.00 gamma=151.55
Fractional coordinates of all 8 atoms:
Ac 0.109 0.891 0.750
Ac 0.891 0.109 0.250
Ge 0.250 0.750 0.250
Ge 0.458 0.542 0.750
Ge 0.542 0.458 0.250
Ge 0.750 0.250 0.750
Rh 0.319 0.681 0.750
Rh 0.681 0.319 0.250

2.
Material: ZrAu2F
Method: DFT, GGA-PBE
State: optimized geometry

Properties
Density of states at the Fermi level in states/eV per atom: 0.738
Energy above the most stable polymorph in this dataset in kJ per mole of atoms: 0.00

Unit cell a=5.981 b=5.981 c=5.981 alpha=100.59 beta=100.59 gamma=129.22
Fractional coordinates of all 8 atoms:
Zr 0.000 0.000 0.000
Zr 0.750 0.250 0.500
Au 0.133 0.625 0.008
Au 0.375 0.383 0.508
Au 0.617 0.125 0.992
Au 0.875 0.867 0.492
F 0.250 0.750 0.500
F 0.500 0.500 0.000

3.
Material: MgPRh2
Method: DFT, GGA-PBE
State: optimized geometry

Properties
Density of states at the Fermi level in states/eV per atom: 0.746
Energy relative to the elements in meV/atom: -402.6

Unit cell a=2.964 b=3.754 c=5.161 alpha=90.00 beta=90.00 gamma=90.00
Fractional coordinates of all 4 atoms:
Mg 0.000 0.000 0.000
P 0.500 0.500 0.324
Rh 0.000 0.000 0.483
Rh 0.500 0.500 0.793

4.
Material: TePbSeN2
Method: DFT, GGA-PBE
State: optimized geometry

Properties
Density of states at the Fermi level in states/eV per atom: 0.687
Energy above the most stable polymorph in this dataset in kJ per mole of atoms: 41.03

Unit cell a=4.349 b=4.349 c=5.839 alpha=90.00 beta=90.00 gamma=90.00
Fractional coordinates of all 5 atoms:
Te 0.000 0.000 0.000
Pb 0.500 0.500 0.000
Se 0.000 0.000 0.500
N 0.000 0.500 0.500
N 0.500 0.000 0.500

5.
Material: AcNd2Er5Tm
Method: DFT, GGA-PBE
State: optimized geometry

Properties
Density of states at the Fermi level in states/eV per atom: 1.057
Energy relative to the elements in meV/atom: 265.5

Unit cell a=9.938 b=9.938 c=9.938 alpha=127.32 beta=127.32 gamma=77.72
Fractional coordinates of all 18 atoms:
Ac 0.250 0.250 0.000
Ac 0.750 0.750 0.000
Nd 0.117 0.617 0.733
Nd 0.383 0.117 0.500
Nd 0.617 0.883 0.500
Nd 0.883 0.383 0.267
Er 0.000 0.000 0.000
Er 0.074 0.160 0.500
Er 0.160 0.660 0.086
Er 0.340 0.426 0.500
Er 0.426 0.926 0.086
Er 0.500 0.500 0.000
Er 0.574 0.074 0.914
Er 0.660 0.574 0.500
Er 0.840 0.340 0.914
Er 0.926 0.840 0.500
Tm 0.250 0.750 0.500
Tm 0.750 0.250 0.500

6.
Material: MnNi4Pd
Method: DFT, GGA-PBE
State: optimized geometry

Properties
Density of states at the Fermi level in states/eV per atom: 0.952
Energy relative to the elements in meV/atom: -22.0
Energy above the most stable polymorph in this dataset in kJ per mole of atoms: 0.00

Unit cell a=4.709 b=4.709 c=4.709 alpha=60.00 beta=60.00 gamma=60.00
Fractional coordinates of all 6 atoms:
Mn 0.000 0.000 0.000
Ni 0.375 0.375 0.375
Ni 0.375 0.375 0.875
Ni 0.375 0.875 0.375
Ni 0.875 0.375 0.375
Pd 0.750 0.750 0.750

7.
Material: CrReRh2
Method: DFT, GGA-PBE
State: optimized geometry

Properties
Density of states at the Fermi level in states/eV per atom: 1.156
Energy relative to the elements in meV/atom: 158.9
Energy above the most stable polymorph in this dataset in kJ per mole of atoms: 28.15

Unit cell a=3.099 b=3.099 c=5.872 alpha=90.00 beta=90.00 gamma=90.00
Fractional coordinates of all 4 atoms:
Cr 0.000 0.000 0.000
Re 0.500 0.500 0.205
Rh 0.000 0.000 0.470
Rh 0.500 0.500 0.757

8.
Material: Ti2OsPdS
Method: DFT, GGA-PBE
State: optimized geometry

Properties
Density of states at the Fermi level in states/eV per atom: 1.426
Raw total energy in eV per atom: -6.1580

Unit cell a=4.778 b=4.778 c=4.247 alpha=90.00 beta=90.00 gamma=90.00
Fractional coordinates of all 5 atoms:
Ti 0.000 0.500 0.000
Ti 0.500 0.000 0.000
Os 0.000 0.000 0.500
Pd 0.500 0.500 0.000
S 0.500 0.500 0.500

9.
Material: Pr5Y4Mg
Method: DFT, GGA-PBE
State: optimized geometry

Properties
Density of states at the Fermi level in states/eV per atom: 1.398
Energy relative to the elements in meV/atom: -3.8

Unit cell a=3.675 b=3.675 c=24.815 alpha=90.00 beta=90.00 gamma=90.00
Fractional coordinates of all 10 atoms:
Pr 0.000 0.000 0.000
Pr 0.000 0.000 0.205
Pr 0.000 0.000 0.410
Pr 0.000 0.000 0.590
Pr 0.000 0.000 0.795
Y 0.500 0.500 0.103
Y 0.500 0.500 0.308
Y 0.500 0.500 0.692
Y 0.500 0.500 0.897
Mg 0.500 0.500 0.500

10.
Material: LiSmAg2
Method: DFT, GGA-PBE
State: optimized geometry

Properties
Density of states at the Fermi level in states/eV per atom: 0.574
Energy relative to the elements in meV/atom: -221.3
Energy above the most stable polymorph in this dataset in kJ per mole of atoms: 0.00

Unit cell a=4.759 b=6.767 c=5.399 alpha=90.00 beta=90.00 gamma=90.00
Fractional coordinates of all 8 atoms:
Li 0.250 0.250 0.227
Li 0.750 0.750 0.773
Sm 0.250 0.750 0.330
Sm 0.750 0.250 0.670
Ag 0.250 0.522 0.830
Ag 0.250 0.978 0.830
Ag 0.750 0.022 0.170
Ag 0.750 0.478 0.170

11.
Material: KSmAg2Cl8
Method: DFT, GGA-PBE
State: optimized geometry

Properties
Density of states at the Fermi level in states/eV per atom: 1.136
Raw total energy in eV per atom: -3.3658

Unit cell a=8.641 b=8.641 c=8.641 alpha=133.54 beta=133.54 gamma=67.81
Fractional coordinates of all 12 atoms:
K 0.000 0.000 0.000
Sm 0.250 0.750 0.500
Ag 0.500 0.500 0.000
Ag 0.750 0.250 0.500
Cl 0.272 0.705 0.153
Cl 0.295 0.448 0.568
Cl 0.397 0.015 0.036
Cl 0.552 0.119 0.847
Cl 0.639 0.603 0.617
Cl 0.881 0.728 0.432
Cl 0.978 0.361 0.964
Cl 0.985 0.022 0.383

12.
Material: La5Mg2Cd
Method: DFT, GGA-PBE
State: optimized geometry

Properties
Density of states at the Fermi level in states/eV per atom: 1.425
Energy relative to the elements in meV/atom: -91.1

Unit cell a=6.946 b=6.946 c=6.946 alpha=110.03 beta=110.03 gamma=108.36
Fractional coordinates of all 8 atoms:
La 0.000 0.000 0.000
La 0.000 0.000 0.500
La 0.000 0.500 0.000
La 0.500 0.000 0.000
La 0.500 0.500 0.500
Mg 0.000 0.500 0.500
Mg 0.500 0.000 0.500
Cd 0.501 0.501 0.000

13.
Material: Ac6PS5
Method: DFT, GGA-PBE
State: optimized geometry

Properties
Density of states at the Fermi level in states/eV per atom: 0.534
Raw total energy in eV per atom: -6.1720

Unit cell a=7.501 b=7.501 c=7.505 alpha=99.58 beta=99.58 gamma=120.02
Fractional coordinates of all 12 atoms:
Ac 0.083 0.413 0.748
Ac 0.248 0.248 0.252
Ac 0.413 0.083 0.748
Ac 0.587 0.917 0.252
Ac 0.752 0.752 0.748
Ac 0.917 0.587 0.252
P 0.000 0.000 0.500
S 0.166 0.834 0.000
S 0.333 0.667 0.500
S 0.500 0.500 0.000
S 0.667 0.333 0.500
S 0.834 0.166 0.000

14.
Material: Pm3Pr2Sc
Method: DFT, GGA-PBE
State: optimized geometry

Properties
Density of states at the Fermi level in states/eV per atom: 1.425
Energy relative to the elements in meV/atom: 37.5
Energy above the most stable polymorph in this dataset in kJ per mole of atoms: 0.00

Unit cell a=6.233 b=8.063 c=8.848 alpha=111.44 beta=90.30 gamma=104.75
Fractional coordinates of all 12 atoms:
Pm 0.039 0.364 0.284
Pm 0.291 0.622 0.042
Pm 0.375 0.376 0.628
Pm 0.625 0.624 0.372
Pm 0.709 0.378 0.958
Pm 0.961 0.636 0.716
Pr 0.203 0.877 0.459
Pr 0.449 0.118 0.202
Pr 0.551 0.882 0.798
Pr 0.797 0.123 0.541
Sc 0.124 0.126 0.879
Sc 0.876 0.874 0.121

15.
Material: YPaFeN4
Method: DFT, GGA-PBE
State: optimized geometry

Properties
Density of states at the Fermi level in states/eV per atom: 0.537
Raw total energy in eV per atom: -9.2523

Unit cell a=6.548 b=6.548 c=6.548 alpha=147.10 beta=147.10 gamma=47.21
Fractional coordinates of all 7 atoms:
Y 0.000 0.000 0.000
Pa 0.718 0.718 0.000
Fe 0.360 0.360 0.000
N 0.188 0.188 0.000
N 0.353 0.853 0.500
N 0.537 0.537 0.000
N 0.853 0.353 0.500

16.
Material: KBa2NaPd
Method: DFT, GGA-PBE
State: optimized geometry

Properties
Density of states at the Fermi level in states/eV per atom: 0.772
Energy relative to the elements in meV/atom: -139.9
Energy above the most stable polymorph in this dataset in kJ per mole of atoms: 0.00

Unit cell a=6.265 b=6.265 c=6.189 alpha=90.00 beta=90.00 gamma=90.00
Fractional coordinates of all 5 atoms:
K 0.000 0.000 0.000
Ba 0.000 0.500 0.500
Ba 0.500 0.000 0.500
Na 0.500 0.500 0.000
Pd 0.500 0.500 0.500

17.
Material: La2CoCu
Method: DFT, GGA-PBE
State: optimized geometry

Properties
Density of states at the Fermi level in states/eV per atom: 1.300
Energy relative to the elements in meV/atom: 122.7

Unit cell a=4.846 b=4.846 c=4.846 alpha=60.00 beta=60.00 gamma=60.00
Fractional coordinates of all 4 atoms:
La 0.000 0.000 0.000
La 0.250 0.250 0.250
Co 0.500 0.500 0.500
Cu 0.750 0.750 0.750

18.
Material: Tl9Cd2Sn
Method: DFT, GGA-PBE
State: optimized geometry

Properties
Density of states at the Fermi level in states/eV per atom: 0.493
Energy relative to the elements in meV/atom: 44.1

Unit cell a=5.090 b=5.090 c=13.653 alpha=90.00 beta=90.00 gamma=90.00
Fractional coordinates of all 12 atoms:
Tl 0.000 0.000 0.000
Tl 0.000 0.000 0.336
Tl 0.000 0.000 0.664
Tl 0.000 0.500 0.168
Tl 0.000 0.500 0.500
Tl 0.000 0.500 0.832
Tl 0.500 0.000 0.168
Tl 0.500 0.000 0.500
Tl 0.500 0.000 0.832
Cd 0.500 0.500 0.336
Cd 0.500 0.500 0.664
Sn 0.500 0.500 0.000

19.
Material: CdSbP
Method: DFT, GGA-PBE
State: optimized geometry

Properties
Density of states at the Fermi level in states/eV per atom: 0.038
Energy above the most stable polymorph in this dataset in kJ per mole of atoms: 7.29

Unit cell a=4.649 b=6.054 c=6.143 alpha=66.62 beta=71.06 gamma=82.92
Fractional coordinates of all 6 atoms:
Cd 0.000 0.000 0.000
Cd 0.092 0.472 0.160
Sb 0.566 0.190 0.605
Sb 0.789 0.694 0.766
P 0.259 0.744 0.392
P 0.461 0.105 0.253

20.
Material: HfPdPtRh
Method: DFT, GGA-PBE
State: optimized geometry

Properties
Density of states at the Fermi level in states/eV per atom: 0.802
Energy relative to the elements in meV/atom: -935.0

Unit cell a=3.943 b=3.972 c=4.061 alpha=90.00 beta=90.00 gamma=90.00
Fractional coordinates of all 4 atoms:
Hf 0.000 0.000 0.000
Pd 0.000 0.500 0.500
Pt 0.500 0.000 0.500
Rh 0.500 0.500 0.000

21.
Material: NaV2PdCl
Method: DFT, GGA-PBE
State: optimized geometry

Properties
Density of states at the Fermi level in states/eV per atom: 1.368
Raw total energy in eV per atom: -4.6305

Unit cell a=4.853 b=4.853 c=5.704 alpha=90.00 beta=90.00 gamma=90.00
Fractional coordinates of all 5 atoms:
Na 0.000 0.000 0.000
V 0.000 0.500 0.500
V 0.500 0.000 0.500
Pd 0.000 0.000 0.500
Cl 0.500 0.500 0.000

22.
Material: RbSc
Method: DFT, GGA-PBE
State: optimized geometry

Properties
Density of states at the Fermi level in states/eV per atom: 1.881
Energy relative to the elements in meV/atom: 816.2

Unit cell a=3.517 b=3.517 c=14.054 alpha=90.00 beta=90.00 gamma=120.00
Fractional coordinates of all 4 atoms:
Rb 0.333 0.667 0.000
Rb 0.667 0.333 0.500
Sc 0.333 0.667 0.751
Sc 0.667 0.333 0.251

23.
Material: AcSmSeS2
Method: DFT, GGA-PBE
State: optimized geometry

Properties
Density of states at the Fermi level in states/eV per atom: 0.000
Raw total energy in eV per atom: -6.0276

Unit cell a=4.884 b=4.884 c=6.895 alpha=90.00 beta=90.00 gamma=90.00
Fractional coordinates of all 5 atoms:
Ac 0.000 0.000 0.000
Sm 0.500 0.500 0.408
Se 0.500 0.500 0.815
S 0.000 0.500 0.242
S 0.500 0.000 0.242

24.
Material: Pm3Bi2As
Method: DFT, GGA-PBE
State: optimized geometry

Properties
Density of states at the Fermi level in states/eV per atom: 0.143
Energy relative to the elements in meV/atom: -1093.9

Unit cell a=9.982 b=9.982 c=9.982 alpha=154.09 beta=154.09 gamma=36.97
Fractional coordinates of all 6 atoms:
Pm 0.000 0.000 0.000
Pm 0.343 0.343 0.000
Pm 0.657 0.657 0.000
Bi 0.169 0.169 0.000
Bi 0.831 0.831 0.000
As 0.500 0.500 0.000

25.
Material: Pr2YThS4
Method: DFT, GGA-PBE
State: optimized geometry

Properties
Density of states at the Fermi level in states/eV per atom: 0.450
Raw total energy in eV per atom: -6.9568

Unit cell a=7.013 b=4.019 c=7.026 alpha=90.00 beta=109.18 gamma=90.00
Fractional coordinates of all 8 atoms:
Pr 0.000 0.000 0.000
Pr 0.000 0.500 0.500
Y 0.500 0.000 0.500
Th 0.500 0.500 0.000
S 0.259 0.000 0.747
S 0.264 0.500 0.260
S 0.736 0.500 0.740
S 0.741 0.000 0.253